MnTlN2O | PBE+U | optimized geometry

a b c (Å): 4.2972 4.2972 3.7313
angles (deg): 90.00 90.00 90.00
Last column: nearest neighbours and their distance in Å.
Positions (direct):
Mn: 0.0000 0.0000 0.0000  2 O 1.87
Tl: 0.5000 0.5000 0.0000  8 N 2.85, 4 Mn 3.04
N: 0.0000 0.5000 0.5000  2 O 2.15
N: 0.5000 0.0000 0.5000  2 O 2.15
O: 0.0000 0.0000 0.5000  2 Mn 1.87

Computed properties:
- Final energy: -0.3589 Ry per atom
- Total magnetization: 5.02 μB per formula unit
- Space group: P4/mmm